Pm2PrHg3 | PBE-GGA | optimized geometry

Cell: 5.4005 16.2178 7.6996 Å, 90.00 90.00 90.00°
Space group Cmmm (No. 65)
Inequivalent atoms, fractional coordinates:
1 Pm 0.0000 0.0000 0.0000 x2
2 Pm 0.0000 0.0000 0.5000 x2
3 Pm 0.0000 0.3326 0.0000 x4
4 Pr 0.0000 0.3333 0.5000 x4
5 Hg 0.0000 0.1650 0.2448 x8
6 Hg 0.0000 0.5000 0.2462 x4

Computed properties:
The calculation puts the formation energy at -0.474 eV/atom. As for the density of states at the Fermi level: 6.8 states/eV/f.u.

KCdH2 | PBE-GGA | optimized geometry

Cell: 3.7867 3.7867 16.5800 Å, 90.00 90.00 120.00°
Space group R-3m (No. 166, hexagonal axes)
Inequivalent atoms, fractional coordinates:
1 K 0.0000 0.0000 0.0000 x3
2 Cd 0.0000 0.0000 0.5000 x3
3 H 0.0000 0.0000 0.2285 x6

Computed properties:
The value obtained for the total energy is -23.86 eV/cell. As for the density of states at the Fermi level: 0.6 states/eV/f.u.

Ta2CoW | PBE-GGA | optimized geometry

Cell: 2.8423 2.8423 27.6871 Å, 90.00 90.00 120.00°
Space group R3m (No. 160, hexagonal axes)
Inequivalent atoms, fractional coordinates:
1 Ta 0.0000 0.0000 0.0000 x3
2 Ta 0.0000 0.0000 0.2395 x3
3 Co 0.0000 0.0000 0.4956 x3
4 W 0.0000 0.0000 0.7569 x3

Computed properties:
The calculation puts the formation energy at 0.286 eV/atom. As for the density of states at the Fermi level: 5.1 states/eV/f.u.

Hg2TeHRh | PBE-GGA | optimized geometry

Cell: 5.5420 5.5420 3.5927 Å, 90.00 90.00 90.00°
Space group P4/mmm (No. 123)
Inequivalent atoms, fractional coordinates:
1 Hg 0.0000 0.5000 0.0000 x2
2 Te 0.0000 0.0000 0.0000 x1
3 H 0.0000 0.0000 0.5000 x1
4 Rh 0.5000 0.5000 0.5000 x1

Computed properties:
The value obtained for the total energy is -10.56 eV/cell. As for the density of states at the Fermi level: 3.7 states/eV/f.u.